Compound: PmGeBr5
Source: Alexandria via LeMat-Bulk
Functional: PBE-GGA
Structure: relaxed

Geometry as POSCAR:
```
PmGeBr5
1.0
6.213 0.000 0.000
0.000 10.141 0.000
-3.106 -5.071 5.035
Pm Br Ge
1 5 1
Cartesian
1.380 0.000 0.000
3.068 2.164 0.000
-0.309 0.000 2.172
5.614 5.071 0.000
2.798 5.071 2.863
3.068 7.978 0.000
3.208 5.071 0.000
```

- Symmetry: No. 44
- ΔE_f (raw): -1.1754 eV per atom
- Energy relative to the lowest polymorph listed for this composition: 87.5 meV per atom
- Energy: -26.0 eV for the cell shown
- Spin magnetization: 0.0 Bohr magnetons per cell

Compound: NbSiMo3
Source: Alexandria via LeMat-Bulk
Functional: PBE-GGA
Structure: relaxed

Geometry as POSCAR:
```
NbSiMo3
1.0
4.744 0.000 0.000
0.000 4.744 0.000
0.000 0.000 4.744
Si Mo Nb
1 3 1
Cartesian
2.372 2.372 2.372
0.000 2.372 0.000
0.000 0.000 2.372
2.372 0.000 0.000
0.000 0.000 0.000
```

- Symmetry: No. 221
- ΔE_f (raw): 2.0098 eV per atom
- Energy relative to the lowest polymorph listed for this composition: 1174.6 meV per atom
- Energy: -37.9 eV for the cell shown
- Spin magnetization: 0.1 Bohr magnetons per cell

Compound: TbPm2SmS4
Source: Alexandria via LeMat-Bulk
Functional: PBE-GGA
Structure: relaxed

Geometry as POSCAR:
```
TbPm2SmS4
1.0
-2.776 2.817 -0.273
-3.959 -4.267 -3.779
-1.531 -0.855 6.742
Pm Sm S Tb
2 1 4 1
Cartesian
-2.153 0.981 3.235
-2.745 -2.561 1.482
0.000 0.000 0.000
-5.506 -2.430 2.127
-3.315 -3.381 -1.178
-2.760 0.124 0.563
-2.175 -1.742 4.141
-3.367 -0.725 -2.026
```

- Symmetry: No. 10
- ΔE_f (raw): -2.0235 eV per atom
- Energy: -51.5 eV for the cell shown
- Spin magnetization: 0.0 Bohr magnetons per cell

Compound: Sc2SbAs
Source: Alexandria via LeMat-Bulk
Functional: PBE-GGA
Structure: relaxed

Geometry as POSCAR:
```
Sc2SbAs
1.0
-1.546 1.673 -2.213
-0.492 -2.658 -1.667
-8.402 -1.441 4.780
Sc Sb As
2 1 1
Cartesian
-0.026 -0.005 0.015
-3.282 -0.881 -0.652
-7.583 -1.619 1.794
-3.749 -0.643 2.133
```

- Symmetry: No. 99
- ΔE_f (raw): -0.3362 eV per atom
- Energy: -22.8 eV for the cell shown
- Spin magnetization: 0.0 Bohr magnetons per cell

Compound: YPOF2
Source: Alexandria via LeMat-Bulk
Functional: PBE-GGA
Structure: relaxed

Geometry as POSCAR:
```
YPOF2
1.0
4.661 0.000 0.000
0.000 4.661 0.000
0.000 0.000 3.499
Y P F O
1 1 2 1
Cartesian
2.330 2.330 1.750
0.000 0.000 0.000
0.000 2.330 0.000
2.330 0.000 0.000
0.000 0.000 1.750
```

- Symmetry: No. 123
- ΔE_f (raw): -1.4069 eV per atom
- Energy relative to the lowest polymorph listed for this composition: 565.0 meV per atom
- Energy: -27.6 eV for the cell shown
- Spin magnetization: 0.0 Bohr magnetons per cell

Compound: InSb2P
Source: Alexandria via LeMat-Bulk
Functional: PBE-GGA
Structure: relaxed

Geometry as POSCAR:
```
InSb2P
1.0
-4.611 -0.749 3.726
-5.698 -1.746 0.429
-0.490 -5.404 1.796
Sb In P
2 1 1
Cartesian
-10.058 -2.640 4.116
-7.930 -6.334 4.531
-5.718 -3.939 3.077
-2.801 -1.430 1.356
```

- Symmetry: No. 8
- ΔE_f (raw): 0.2220 eV per atom
- Energy relative to the lowest polymorph listed for this composition: 130.6 meV per atom
- Energy: -15.5 eV for the cell shown
- Spin magnetization: 0.0 Bohr magnetons per cell

Look up the spin magnetization of the first one.
0.0 Bohr magnetons per cell

Please write out number 3 again, unchanged.
Compound: TbPm2SmS4
Source: Alexandria via LeMat-Bulk
Functional: PBE-GGA
Structure: relaxed

Geometry as POSCAR:
```
TbPm2SmS4
1.0
-2.776 2.817 -0.273
-3.959 -4.267 -3.779
-1.531 -0.855 6.742
Pm Sm S Tb
2 1 4 1
Cartesian
-2.153 0.981 3.235
-2.745 -2.561 1.482
0.000 0.000 0.000
-5.506 -2.430 2.127
-3.315 -3.381 -1.178
-2.760 0.124 0.563
-2.175 -1.742 4.141
-3.367 -0.725 -2.026
```

- Symmetry: No. 10
- ΔE_f (raw): -2.0235 eV per atom
- Energy: -51.5 eV for the cell shown
- Spin magnetization: 0.0 Bohr magnetons per cell

Among the records above, which one has the lowest energy?
TbPm2SmS4